Record 1
Density functional theory data (PBE) for an optimized crystal structure of Na2ZnGaAu6.

Structure (POSCAR):
```
Na2ZnGaAu6
1.0
0.000 4.952 4.952
4.952 0.000 4.952
4.952 4.952 0.000
Na Zn Ga Au
2 1 1 6
Cartesian
2.476 2.476 2.476
7.429 7.429 7.429
0.000 0.000 0.000
4.952 4.952 4.952
4.952 4.952 2.474
4.952 2.474 4.952
7.430 4.952 4.952
2.474 4.952 4.952
4.952 7.430 4.952
4.952 4.952 7.430
```

- Formation energy: -0.024 eV/atom
- SG: Fm-3m (225)
- Size of the total moment: 0.00 μB/f.u.



Record 2
Density functional theory data (PBE) for an optimized crystal structure of NaZnGaAu2.

Structure (POSCAR):
```
NaZnGaAu2
1.0
4.133 0.000 0.000
0.000 4.133 0.000
0.000 0.000 12.096
Na Zn Ga Au
2 2 2 4
Cartesian
0.000 0.000 0.000
2.067 2.067 6.048
0.000 2.067 3.024
2.067 0.000 9.072
0.000 2.067 9.072
2.067 0.000 3.024
0.000 0.000 4.681
0.000 0.000 7.415
2.067 2.067 1.367
2.067 2.067 10.729
```

- Formation energy: -0.277 eV/atom
- SG: I-4m2 (119)
- Size of the total moment: 0.00 μB/f.u.



Record 3
Density functional theory data (PBE) for an optimized crystal structure of Nb2Ga4Au.

Structure (POSCAR):
```
Nb2Ga4Au
1.0
15.141 0.000 0.000
0.000 2.990 0.000
-2.249 0.000 5.520
Nb Ga Au
4 8 2
Cartesian
3.042 0.000 1.234
2.280 1.495 4.286
10.612 1.495 1.234
9.850 0.000 4.286
-0.062 0.000 4.155
0.805 1.495 2.033
4.517 0.000 3.487
5.383 1.495 1.364
8.375 0.000 2.033
7.509 1.495 4.155
12.954 0.000 1.364
12.087 1.495 3.487
0.000 0.000 0.000
7.570 1.495 0.000
```

- Formation energy: -0.101 eV/atom
- SG: C2/m (12)
- Size of the total moment: 0.00 μB/f.u.